This record from OQMD describes TcSbNO after structural relaxation. The functional is GGA-PBE.

Calculated values
total energy: -6.89 eV per atom
SG: P4/nmm

abc: 4.0268 4.0268 9.5344
angles: 90.00 90.00 90.00
Last column: nearest neighbours and their distance in Å.
Atoms (fractional coordinates):
Tc (0.2500, 0.2500, 0.0740)  1 N 1.65
Tc (0.7500, 0.7500, 0.9260)  1 N 1.65
Sb (0.2500, 0.7500, 0.5000)  4 Sb 2.85, 4 N 3.14
Sb (0.7500, 0.2500, 0.5000)  4 Sb 2.85, 4 N 3.14
N (0.2500, 0.2500, 0.2471)  1 Tc 1.65
N (0.7500, 0.7500, 0.7529)  1 Tc 1.65
O (0.2500, 0.7500, 0.0000)  4 Tc 2.13
O (0.7500, 0.2500, 0.0000)  4 Tc 2.13

This record from OQMD describes Pr7Ni3 after structural relaxation. The functional is GGA-PBE.

Calculated values
total energy: -5.20 eV per atom
SG: P6_3mc
calculated formation energy: -0.19 eV/atom

abc: 9.9825 9.9825 6.3866
angles: 90.00 90.00 120.00
Last column: nearest neighbours and their distance in Å.
Atoms (fractional coordinates):
Pr (0.0777, 0.5389, 0.0000)  2 Ni 2.84
Pr (0.1258, 0.2516, 0.6887)  3 Ni 2.90-3.03
Pr (0.1258, 0.8742, 0.6887)  3 Ni 2.90-3.03
Pr (0.2516, 0.1258, 0.1887)  3 Ni 2.90-3.03
Pr (0.3333, 0.6667, 0.4753)  3 Ni 2.91
Pr (0.4611, 0.5389, 0.0000)  2 Ni 2.84
Pr (0.4611, 0.9223, 0.0000)  2 Ni 2.84
Pr (0.5389, 0.0777, 0.5000)  2 Ni 2.84
Pr (0.5389, 0.4611, 0.5000)  2 Ni 2.84
Pr (0.6667, 0.3333, 0.9753)  3 Ni 2.91
Pr (0.7484, 0.8742, 0.6887)  3 Ni 2.90-3.03
Pr (0.8742, 0.1258, 0.1887)  3 Ni 2.90-3.03
Pr (0.8742, 0.7484, 0.1887)  3 Ni 2.90-3.03
Pr (0.9223, 0.4611, 0.5000)  2 Ni 2.84
Ni (0.1884, 0.3768, 0.2448)  6 Pr 2.84-3.03
Ni (0.1884, 0.8116, 0.2448)  6 Pr 2.84-3.03
Ni (0.3768, 0.1884, 0.7448)  6 Pr 2.84-3.03
Ni (0.6232, 0.8116, 0.2448)  6 Pr 2.84-3.03
Ni (0.8116, 0.1884, 0.7448)  6 Pr 2.84-3.03
Ni (0.8116, 0.6232, 0.7448)  6 Pr 2.84-3.03

This record from OQMD describes TaTePO after structural relaxation. The functional is GGA-PBE.

Calculated values
total energy: -6.54 eV per atom
SG: P4/nmm

abc: 4.6842 4.6842 5.7334
angles: 90.00 90.00 90.00
Last column: nearest neighbours and their distance in Å.
Atoms (fractional coordinates):
Ta (0.2500, 0.7500, 0.0000)  4 P 2.52
Ta (0.7500, 0.2500, 0.0000)  4 P 2.52
Te (0.2500, 0.2500, 0.3701)  4 O 2.46, 1 P 2.68
Te (0.7500, 0.7500, 0.6299)  4 O 2.46, 1 P 2.68
P (0.2500, 0.2500, 0.8377)  4 Ta 2.52, 1 Te 2.68
P (0.7500, 0.7500, 0.1623)  4 Ta 2.52, 1 Te 2.68
O (0.2500, 0.7500, 0.5000)  4 Te 2.46
O (0.7500, 0.2500, 0.5000)  4 Te 2.46

This record from OQMD describes NaNi after structural relaxation. The functional is GGA-PBE.

Calculated values
total energy: -1.96 eV per atom
SG: P3m1

abc: 4.4156 4.4156 7.1396
angles: 90.00 90.00 120.00
Last column: nearest neighbours and their distance in Å.
Atoms (fractional coordinates):
Na (0.0000, 0.0000, 0.0000)  4 Ni 2.69-2.70
Na (0.3333, 0.6667, 0.5008)  4 Ni 2.68-2.70
Ni (0.0000, 0.0000, 0.3769)  4 Na 2.69-2.70
Ni (0.3333, 0.6667, 0.8768)  4 Na 2.68-2.70

This record from OQMD describes BaCoAgSe3 after structural relaxation. The functional is GGA-PBE.

Calculated values
total energy: -4.39 eV per atom
SG: P2_1/m

abc: 7.7247 3.9566 9.6341
angles: 90.00 109.66 90.00
Last column: nearest neighbours and their distance in Å.
Atoms (fractional coordinates):
Ba (0.2358, 0.2500, 0.2759)  8 Se 3.31-3.56, 2 Ag 3.65
Ba (0.7642, 0.7500, 0.7241)  8 Se 3.31-3.56, 2 Ag 3.65
Co (0.3346, 0.7500, 0.8650)  5 Se 2.32-2.56
Co (0.6654, 0.2500, 0.1350)  5 Se 2.32-2.56
Ag (0.0864, 0.2500, 0.6057)  4 Se 2.61-2.87, 2 Ag 2.83
Ag (0.9136, 0.7500, 0.3943)  4 Se 2.61-2.87, 2 Ag 2.83
Se (0.1343, 0.2500, 0.8872)  2 Co 2.56, 1 Ag 2.61
Se (0.2989, 0.7500, 0.5644)  3 Ag 2.68-2.87, 1 Co 2.81
Se (0.4702, 0.7500, 0.1198)  3 Co 2.32-2.46
Se (0.5298, 0.2500, 0.8802)  3 Co 2.32-2.46
Se (0.7011, 0.2500, 0.4356)  3 Ag 2.68-2.87, 1 Co 2.81
Se (0.8657, 0.7500, 0.1128)  2 Co 2.56, 1 Ag 2.61

This record from OQMD describes YTaH4 after structural relaxation. The functional is GGA-PBE.

Calculated values
total energy: -5.67 eV per atom
SG: P4/mmm

abc: 3.3989 3.3989 4.7841
angles: 90.00 90.00 90.00
Last column: nearest neighbours and their distance in Å.
Atoms (fractional coordinates):
Y (0.0000, 0.0000, 0.0000)  8 H 2.19
Ta (0.5000, 0.5000, 0.5000)  8 H 1.97
H (0.0000, 0.5000, 0.2900)  2 Ta 1.97, 1 H 2.01, 2 Y 2.19
H (0.0000, 0.5000, 0.7100)  2 Ta 1.97, 1 H 2.01, 2 Y 2.19
H (0.5000, 0.0000, 0.2900)  2 Ta 1.97, 1 H 2.01, 2 Y 2.19
H (0.5000, 0.0000, 0.7100)  2 Ta 1.97, 1 H 2.01, 2 Y 2.19